<one>
# PuSnGe2

A relaxed structure of PuSnGe2 (PBE-GGA, the Alexandria database).

Lattice parameters (Å, degrees): 3.756 3.756 6.304 90.00 90.00 90.00
Each line ends with the local moment (μB).
Positions (direct):
Ge (0.000, 0.000, 0.772)  -0.01
Ge (0.000, 0.000, 0.228)  -0.01
Sn (0.500, 0.500, 0.000)  -0.01
Pu (0.500, 0.500, 0.500)  5.35

Properties
- Symmetry: P4/mmm, No. 123


<two>
# PuSnGe2

A relaxed structure of PuSnGe2 (PBE-GGA, the Alexandria database).

Lattice parameters (Å, degrees): 4.168 4.526 4.526 90.00 90.00 90.00
Each line ends with the local moment (μB).
Positions (direct):
Ge (0.000, 0.000, 0.500)  -0.03
Ge (0.000, 0.500, 0.000)  -0.03
Sn (0.500, 0.000, 0.000)  -0.02
Pu (0.500, 0.500, 0.500)  5.08

Properties
- Symmetry: P4/mmm, No. 123


<three>
# PuSnGe2

A relaxed structure of PuSnGe2 (PBE-GGA, the Alexandria database).

Lattice parameters (Å, degrees): 5.091 5.091 5.001 59.40 59.40 60.00
Each line ends with the local moment (μB).
Positions (direct):
Ge (0.249, 0.249, 0.252)  0.00
Ge (0.751, 0.751, 0.748)  0.00
Sn (0.000, 0.000, 0.000)  -0.02
Pu (0.500, 0.500, 0.500)  5.33

Properties
- Symmetry: R-3m, No. 166


Stability check: which of them is most stable? <two>.


<one>
# PuSn2Ge

A relaxed structure of PuSn2Ge (PBE-GGA, the Alexandria database).

Lattice parameters (Å, degrees): 3.325 3.325 11.425 81.63 81.63 60.00
Each line ends with the local moment (μB).
Positions (direct):
Ge (0.500, 0.500, 0.500)  -0.01
Sn (0.095, 0.095, 0.715)  0.01
Sn (0.905, 0.905, 0.285)  0.01
Pu (0.000, 0.000, 0.000)  5.81

Properties
- Symmetry: R-3m, No. 166


<two>
# PuSn2Ge

A relaxed structure of PuSn2Ge (PBE-GGA, the Alexandria database).

Lattice parameters (Å, degrees): 4.705 4.470 4.470 90.00 90.00 90.00
Each line ends with the local moment (μB).
Positions (direct):
Ge (0.500, 0.000, 0.000)  0.03
Sn (0.000, 0.000, 0.500)  0.02
Sn (0.000, 0.500, 0.000)  0.02
Pu (0.500, 0.500, 0.500)  -5.20

Properties
- Symmetry: P4/mmm, No. 123


Stability check: which of them is most stable? <two>.


<one>
# TbPu2Ge

A relaxed structure of TbPu2Ge (PBE-GGA, the Alexandria database).

Lattice parameters (Å, degrees): 5.206 5.206 5.209 60.01 60.01 60.00
Each line ends with the local moment (μB).
Positions (direct):
Ge (0.000, 0.000, 0.000)  -0.07
Tb (0.500, 0.500, 0.500)  0.66
Pu (0.250, 0.250, 0.250)  5.57
Pu (0.750, 0.750, 0.750)  5.57

Properties
- Symmetry: Fm-3m, No. 225


<two>
# TbPu2Ge

A relaxed structure of TbPu2Ge (PBE-GGA, the Alexandria database).

Lattice parameters (Å, degrees): 4.980 4.399 4.399 90.00 90.00 90.00
Each line ends with the local moment (μB).
Positions (direct):
Ge (0.500, 0.000, 0.000)  -0.10
Tb (0.500, 0.500, 0.500)  0.26
Pu (0.000, 0.000, 0.500)  5.60
Pu (0.000, 0.500, 0.000)  5.60

Properties
- Symmetry: P4/mmm, No. 123


Stability check: which of them is most stable? <two>.


<one>
# Pu3Tc4Ge4

A relaxed structure of Pu3Tc4Ge4 (PBE-GGA, the Alexandria database).

Lattice parameters (Å, degrees): 4.249 6.462 8.303 112.90 104.83 90.00
Each line ends with the local moment (μB).
Positions (direct):
Pu (0.142, 0.142, 0.283)  4.74
Pu (0.858, 0.858, 0.717)  4.74
Pu (0.000, 0.500, 0.000)  5.17
Tc (0.330, 0.103, 0.661)  -0.44
Tc (0.670, 0.442, 0.339)  -0.44
Tc (0.670, 0.897, 0.339)  -0.44
Tc (0.330, 0.558, 0.661)  -0.44
Ge (0.198, 0.698, 0.397)  0.01
Ge (0.802, 0.302, 0.603)  0.01
Ge (0.500, 0.808, 0.000)  -0.02
Ge (0.500, 0.192, 0.000)  -0.02

Properties
- Symmetry: Immm, No. 71


<two>
# Pu3Tc4Ge4

A relaxed structure of Pu3Tc4Ge4 (PBE-GGA, the Alexandria database).

Lattice parameters (Å, degrees): 6.632 6.632 6.632 109.47 109.47 109.47
Each line ends with the local moment (μB).
Positions (direct):
Pu (0.500, 0.500, 0.000)  5.26
Pu (0.500, 0.000, 0.500)  5.26
Pu (0.000, 0.500, 0.500)  5.26
Tc (0.000, 0.252, 0.000)  -0.42
Tc (0.000, 0.000, 0.252)  -0.42
Tc (0.252, 0.000, 0.000)  -0.42
Tc (0.748, 0.748, 0.748)  -0.42
Ge (0.000, 0.614, 0.000)  -0.03
Ge (0.614, 0.000, 0.000)  -0.03
Ge (0.000, 0.000, 0.614)  -0.03
Ge (0.386, 0.386, 0.386)  -0.03

Properties
- Symmetry: I-43m, No. 217


Stability check: which of them is most stable? <one>.


<one>
# Pu3TcGe2

A relaxed structure of Pu3TcGe2 (PBE-GGA, the Alexandria database).

Lattice parameters (Å, degrees): 4.590 9.071 11.723 90.00 90.00 90.00
Each line ends with the local moment (μB).
Positions (direct):
Pu (0.250, 0.398, 0.056)  -5.21
Pu (0.750, 0.602, 0.944)  -5.21
Pu (0.750, 0.898, 0.444)  -5.21
Pu (0.250, 0.102, 0.556)  -5.21
Pu (0.250, 0.743, 0.243)  -4.78
Pu (0.750, 0.257, 0.757)  -4.78
Pu (0.750, 0.243, 0.257)  -4.78
Pu (0.250, 0.757, 0.743)  -4.78
Pu (0.250, 0.390, 0.339)  4.62
Pu (0.750, 0.610, 0.661)  4.62
Pu (0.750, 0.890, 0.161)  4.62
Pu (0.250, 0.110, 0.839)  4.62
Tc (0.250, 0.076, 0.081)  -0.08
Tc (0.750, 0.924, 0.919)  -0.08
Tc (0.750, 0.576, 0.419)  -0.08
Tc (0.250, 0.424, 0.581)  -0.08
Ge (0.250, 0.684, 0.492)  0.01
Ge (0.750, 0.316, 0.508)  0.01
Ge (0.750, 0.184, 0.008)  0.01
Ge (0.250, 0.816, 0.992)  0.01
Ge (0.250, 0.051, 0.301)  0.02
Ge (0.750, 0.949, 0.699)  0.02
Ge (0.750, 0.551, 0.199)  0.02
Ge (0.250, 0.449, 0.801)  0.02

Properties
- Symmetry: Pnma, No. 62


<two>
# Pu3TcGe2

A relaxed structure of Pu3TcGe2 (PBE-GGA, the Alexandria database).

Lattice parameters (Å, degrees): 5.698 5.751 8.842 108.98 108.80 90.00
Each line ends with the local moment (μB).
Positions (direct):
Pu (0.476, 0.680, 0.361)  5.36
Pu (0.524, 0.320, 0.639)  5.36
Pu (0.115, 0.820, 0.639)  5.36
Pu (0.885, 0.180, 0.361)  5.36
Pu (0.500, 0.750, 0.000)  -5.03
Pu (0.500, 0.250, 0.000)  -5.03
Tc (0.000, 0.250, 0.000)  0.40
Tc (0.000, 0.750, 0.000)  0.40
Ge (0.314, 0.123, 0.246)  -0.04
Ge (0.686, 0.877, 0.754)  -0.04
Ge (0.069, 0.377, 0.754)  -0.04
Ge (0.931, 0.623, 0.246)  -0.04

Properties
- Symmetry: Ibam, No. 72


Stability check: which of them is most stable? <one>.


<one>
# Pu2Tc3Ge2

A relaxed structure of Pu2Tc3Ge2 (PBE-GGA, the Alexandria database).

Lattice parameters (Å, degrees): 3.355 5.803 7.361 110.30 90.00 106.80
Each line ends with the local moment (μB).
Positions (direct):
Pu (0.893, 0.786, 0.232)  4.84
Pu (0.107, 0.214, 0.768)  4.84
Tc (0.500, 0.000, 0.000)  -0.53
Tc (0.635, 0.270, 0.463)  -0.48
Tc (0.365, 0.730, 0.537)  -0.48
Ge (0.835, 0.671, 0.780)  0.00
Ge (0.165, 0.329, 0.220)  0.00

Properties
- Symmetry: C2/m, No. 12


<two>
# Pu2Tc3Ge2

A relaxed structure of Pu2Tc3Ge2 (PBE-GGA, the Alexandria database).

Lattice parameters (Å, degrees): 7.022 7.022 7.022 109.47 109.47 109.47
Each line ends with the local moment (μB).
Positions (direct):
Pu (0.000, 0.000, 0.478)  4.46
Pu (0.500, 0.478, 0.500)  4.46
Pu (0.522, 0.022, 0.022)  4.46
Pu (0.978, 0.500, 0.000)  4.46
Tc (0.741, 0.750, 0.991)  -0.73
Tc (0.759, 0.250, 0.509)  -0.73
Tc (0.009, 0.259, 0.250)  -0.73
Tc (0.491, 0.241, 0.750)  -0.73
Tc (0.250, 0.991, 0.241)  -0.73
Tc (0.750, 0.509, 0.259)  -0.73
Ge (0.000, 0.000, 0.883)  0.00
Ge (0.500, 0.883, 0.500)  0.00
Ge (0.117, 0.617, 0.617)  0.00
Ge (0.383, 0.500, 0.000)  0.00

Properties
- Symmetry: I2_13, No. 199


Stability check: which of them is most stable? <one>.


<one>
# Pu2ThGe

A relaxed structure of Pu2ThGe (PBE-GGA, the Alexandria database).

Lattice parameters (Å, degrees): 5.162 5.162 5.162 60.00 60.00 60.00
Each line ends with the local moment (μB).
Positions (direct):
Ge (0.500, 0.500, 0.500)  -0.06
Th (0.000, 0.000, 0.000)  0.87
Pu (0.250, 0.250, 0.250)  5.54
Pu (0.750, 0.750, 0.750)  5.54

Properties
- Symmetry: Fm-3m, No. 225


<two>
# Pu2ThGe

A relaxed structure of Pu2ThGe (PBE-GGA, the Alexandria database).

Lattice parameters (Å, degrees): 3.923 3.923 6.464 90.00 90.00 90.00
Each line ends with the local moment (μB).
Positions (direct):
Ge (0.500, 0.500, 0.000)  -0.12
Th (0.500, 0.500, 0.500)  0.36
Pu (0.000, 0.000, 0.783)  5.26
Pu (0.000, 0.000, 0.217)  5.26

Properties
- Symmetry: P4/mmm, No. 123


<three>
# Pu2ThGe

A relaxed structure of Pu2ThGe (PBE-GGA, the Alexandria database).

Lattice parameters (Å, degrees): 4.875 4.511 4.511 90.00 90.00 90.00
Each line ends with the local moment (μB).
Positions (direct):
Ge (0.500, 0.000, 0.000)  -0.09
Th (0.500, 0.500, 0.500)  0.23
Pu (0.000, 0.000, 0.500)  5.45
Pu (0.000, 0.500, 0.000)  5.45

Properties
- Symmetry: P4/mmm, No. 123


Stability check: which of them is most stable? <three>.


<one>
# PuTiGe2

A relaxed structure of PuTiGe2 (PBE-GGA, the Alexandria database).

Lattice parameters (Å, degrees): 4.762 4.762 4.762 60.00 60.00 60.00
Each line ends with the local moment (μB).
Positions (direct):
Ge (0.750, 0.750, 0.750)  -0.07
Ge (0.250, 0.250, 0.250)  -0.07
Ti (0.500, 0.500, 0.500)  0.40
Pu (0.000, 0.000, 0.000)  5.08

Properties
- Symmetry: Fm-3m, No. 225


<two>
# PuTiGe2

A relaxed structure of PuTiGe2 (PBE-GGA, the Alexandria database).

Lattice parameters (Å, degrees): 3.933 2.956 6.415 90.00 90.00 90.00
Each line ends with the local moment (μB).
Positions (direct):
Pu (0.500, 0.500, 0.750)  5.45
Ti (0.500, 0.500, 0.250)  0.24
Ge (0.000, 0.000, 0.039)  -0.06
Ge (0.000, 0.000, 0.461)  -0.06

Properties
- Symmetry: Pmmm, No. 47


<three>
# PuTiGe2

A relaxed structure of PuTiGe2 (PBE-GGA, the Alexandria database).

Lattice parameters (Å, degrees): 3.809 3.809 7.070 90.16 105.55 119.82
Each line ends with the local moment (μB).
Positions (direct):
Pu (0.000, 0.500, 0.500)  5.02
Ti (0.000, 0.000, 0.000)  -0.19
Ge (0.524, 0.262, 0.786)  -0.03
Ge (0.476, 0.738, 0.214)  -0.03

Properties
- Symmetry: C2/m, No. 12


Stability check: which of them is most stable? <two>.